AgGeAu3 | PBE | optimized geometry

It has space group C2/c (No. 15), with a = 11.517 Å, b = 9.426 Å, c = 7.150 Å, α = 90.00°, β = 104.96° and γ = 90.00°. The distinct sites, in fractional coordinates, are Ag at (0.000, 0.038, 0.250), Ag at (0.000, 0.397, 0.750), Ge at (0.118, 0.342, 0.297), Au at (0.129, 0.180, 0.604), Au at (0.140, 0.179, 0.014) and Au at (0.224, 0.469, 0.629).

Its formation energy is 0.03 eV per atom.